Record 1
The following is a PBE calculation of a relaxed structure of Y2Pd2O7, from Alexandria via LeMat-Bulk.

- E (eV per formula unit) = -78.90
- magnetization (μB per formula unit) = 0.00

a b c (Å): 10.2692 10.2692 10.2692
angles (deg): 90.00 90.00 90.00
Space group Fd-3m (No. 227, origin choice 2)
Unique sites:
Y 0.0000 0.0000 0.0000 (multiplicity 16)
Pd 0.0000 0.0000 0.5000 (multiplicity 16)
O 0.0898 0.3750 0.8750 (multiplicity 48)
O 0.1250 0.1250 0.1250 (multiplicity 8)


Record 2
The following is a PBE calculation of a relaxed structure of HoTh2C2, from Alexandria via LeMat-Bulk.

- ΔE to the lowest computed polymorph (meV per atom) = 0
- magnetization (μB per formula unit) = 0.00

a b c (Å): 11.7173 5.3599 7.3526
angles (deg): 90.00 110.29 90.00
Space group C2/m (No. 12)
Unique sites:
Ho 0.1569 0.0000 0.0919 (multiplicity 4)
Th 0.0065 0.5000 0.7444 (multiplicity 4)
Th 0.1660 0.0000 0.5830 (multiplicity 4)
C 0.0032 0.0000 0.2498 (multiplicity 4)
C 0.1606 0.5000 0.5812 (multiplicity 4)


Record 3
The following is a PBE calculation of a relaxed structure of BeHNO2, from Alexandria via LeMat-Bulk.

- E (eV per formula unit) = -21.11
- magnetization (μB per formula unit) = 2.52

a b c (Å): 3.1212 3.1212 4.9741
angles (deg): 90.00 90.00 90.00
Space group P4/mmm (No. 123)
Unique sites:
Be 0.0000 0.0000 0.0000 (multiplicity 1)
H 0.5000 0.5000 0.5000 (multiplicity 1)
N 0.0000 0.0000 0.5000 (multiplicity 1)
O 0.0000 0.5000 0.0000 (multiplicity 2)